First-principles (PBE) data for SmTiFe10 after structural relaxation, as listed in Alexandria via LeMat-Bulk.

uncorrected energy	-8.077	eV/atom
volume	163.5	Å³/f.u.
D(E_F)	0.994	states/eV/atom
calculated density	7.68	g cm⁻³

a = 3.9899 Å, b = 4.8630 Å, c = 8.4273 Å
α = 90.00°, β = 90.00°, γ = 90.00°
With the nearest neighbours (Å) after each atom.
Space group Pmmm (No. 47)
Unique sites:
Sm 0.0000 0.0000 0.0000 [1 per cell]  18 Fe 2.89-3.21
Ti 0.0000 0.5000 0.5000 [1 per cell]  6 Fe 2.65-2.76
Fe 0.0000 0.0000 0.3451 [2 per cell]  7 Fe 2.38-2.61
Fe 0.0000 0.5000 0.1856 [2 per cell]  6 Fe 2.41-2.53, 1 Ti 2.65
Fe 0.5000 0.0000 0.5000 [1 per cell]  8 Fe 2.37-2.38
Fe 0.5000 0.2531 0.2599 [4 per cell]  8 Fe 2.37-2.50
Fe 0.5000 0.5000 0.0000 [1 per cell]  8 Fe 2.50-2.53